Entry 1:
ZrAg2Sn (PBE, optimized geometry); electronic total energy = -17.2 eV per formula unit; total moment = 0.0 μB per cell
1.0
3.054 0.000 0.000
1.527 2.645 0.000
1.527 0.882 10.934
Zr Sn Ag
1 1 2
Direct
0.000 0.000 0.000 Zr
0.500 0.500 0.500 Sn
0.087 0.087 0.740 Ag
0.913 0.913 0.260 Ag

---

Entry 2:
Zr2Ag2Sn (PBE, optimized geometry); electronic total energy = -26.3 eV per formula unit; total moment = 0.0 μB per cell; relative energy among the computed polymorphs = 0.74 eV per formula unit
1.0
-7.409 0.003 3.365
2.903 -4.108 6.397
0.701 2.893 1.540
Zr Sn Ag
4 2 4
Direct
0.331 0.831 0.000 Zr
0.831 0.669 0.000 Zr
0.669 0.169 0.000 Zr
0.169 0.331 0.000 Zr
0.000 0.000 0.000 Sn
0.500 0.500 0.000 Sn
0.126 0.626 0.500 Ag
0.626 0.874 0.500 Ag
0.874 0.374 0.500 Ag
0.374 0.126 0.500 Ag

---

Entry 3:
ZrAg2Sn (PBE, optimized geometry); electronic total energy = -19.1 eV per formula unit; total moment = 0.0 μB per cell
1.0
-0.873 1.929 4.157
-4.056 -0.926 -0.422
0.651 -3.693 1.851
Zr Sn Ag
1 1 2
Direct
0.500 0.000 0.000 Zr
0.500 0.500 0.500 Sn
0.000 0.000 0.500 Ag
0.000 0.500 0.000 Ag

---

Entry 4:
Sr3Ag (PBE, optimized geometry); electronic total energy = -8.4 eV per formula unit; total moment = 0.0 μB per cell; relative energy among the computed polymorphs = 0.16 eV per formula unit
1.0
-0.687 -0.608 3.966
1.501 -3.770 -0.321
9.212 3.487 2.131
Sr Ag
3 1
Direct
0.500 0.500 0.815 Sr
0.000 0.000 0.500 Sr
0.500 0.500 0.185 Sr
0.000 0.000 0.000 Ag

---

Entry 5:
SrAg2 (PBE, optimized geometry); electronic total energy = -7.8 eV per formula unit; total moment = 0.0 μB per cell
1.0
-2.847 2.847 5.085
2.847 -2.847 5.085
2.847 2.847 -5.085
Sr Ag
2 4
Direct
0.750 0.750 0.000 Sr
0.250 0.250 0.000 Sr
0.172 0.672 0.845 Ag
0.828 0.328 0.155 Ag
0.672 0.828 0.500 Ag
0.328 0.172 0.500 Ag

---

Entry 6:
Sr5Ag3 (PBE, optimized geometry); electronic total energy = -18.8 eV per formula unit; total moment = 0.0 μB per cell; relative energy among the computed polymorphs = 0.18 eV per formula unit
1.0
9.632 0.000 0.000
-4.816 8.342 0.000
0.000 0.000 7.257
Ag Sr
6 10
Direct
0.607 0.000 0.250 Ag
0.393 0.000 0.750 Ag
0.000 0.607 0.250 Ag
0.393 0.393 0.250 Ag
0.607 0.607 0.750 Ag
0.000 0.393 0.750 Ag
0.333 0.667 0.000 Sr
0.667 0.333 0.500 Sr
0.667 0.333 0.000 Sr
0.333 0.667 0.500 Sr
0.255 0.000 0.250 Sr
0.745 0.000 0.750 Sr
0.000 0.255 0.250 Sr
0.745 0.745 0.250 Sr
0.255 0.255 0.750 Sr
0.000 0.745 0.750 Sr

---

Entry 7:
Sr2Ag (PBE, optimized geometry); electronic total energy = -4.6 eV per formula unit; total moment = 0.0 μB per cell; relative energy among the computed polymorphs = 2.28 eV per formula unit
1.0
0.000 5.141 5.141
5.141 0.000 5.141
5.141 5.141 0.000
Sr Ag
4 2
Direct
0.625 0.125 0.125 Sr
0.125 0.625 0.125 Sr
0.125 0.125 0.625 Sr
0.125 0.125 0.125 Sr
0.500 0.500 0.500 Ag
0.750 0.750 0.750 Ag

---

Entry 8:
SrAg12 (PBE, optimized geometry); electronic total energy = -36.6 eV per formula unit; total moment = 0.0 μB per cell
1.0
5.529 0.000 0.000
2.764 6.872 0.000
2.764 0.000 6.872
Sr Ag
1 12
Direct
0.000 0.000 0.000 Sr
0.500 0.000 0.500 Ag
0.000 0.000 0.500 Ag
0.500 0.500 0.000 Ag
0.000 0.500 0.000 Ag
0.000 0.646 0.354 Ag
0.000 0.354 0.646 Ag
0.646 0.354 0.354 Ag
0.354 0.646 0.646 Ag
0.500 0.221 0.779 Ag
0.500 0.779 0.221 Ag
0.721 0.779 0.779 Ag
0.279 0.221 0.221 Ag

---

Entry 9:
Sr3Ag2 (PBE, optimized geometry); electronic total energy = -11.8 eV per formula unit; total moment = 0.0 μB per cell; relative energy among the computed polymorphs = 0.24 eV per formula unit
1.0
-0.265 4.521 1.145
-6.544 1.995 0.136
-2.622 0.668 6.285
Sr Ag
3 2
Direct
0.000 0.000 0.000 Sr
0.807 0.693 0.693 Sr
0.193 0.307 0.307 Sr
0.500 0.307 0.693 Ag
0.500 0.693 0.307 Ag

---

Entry 10:
SrAg (PBE, optimized geometry); electronic total energy = -5.0 eV per formula unit; total moment = 0.0 μB per cell
1.0
7.901 -0.026 -0.016
6.458 4.552 -0.016
6.458 2.036 4.072
Sr Ag
2 2
Direct
0.463 0.463 0.463 Sr
0.287 0.287 0.287 Sr
0.043 0.043 0.043 Ag
0.707 0.707 0.707 Ag

---

Entry 11:
SrAg (PBE, optimized geometry); electronic total energy = -4.0 eV per formula unit; total moment = 0.0 μB per cell
1.0
-7.362 -1.569 4.814
4.730 -5.165 5.548
1.809 7.120 5.086
Sr Ag
6 6
Direct
0.250 0.000 0.500 Sr
0.750 0.000 0.500 Sr
0.000 0.500 0.250 Sr
0.000 0.500 0.750 Sr
0.500 0.250 0.000 Sr
0.500 0.750 0.000 Sr
0.250 0.500 0.000 Ag
0.750 0.500 0.000 Ag
0.500 0.000 0.250 Ag
0.500 0.000 0.750 Ag
0.000 0.250 0.500 Ag
0.000 0.750 0.500 Ag

---

Entry 12:
SrAg (PBE, optimized geometry); electronic total energy = -4.8 eV per formula unit; total moment = 0.0 μB per cell
1.0
-3.921 -1.814 0.746
1.842 -0.316 -3.966
1.875 -3.578 1.156
Ag Sr
1 1
Direct
0.000 0.000 0.000 Ag
0.667 0.333 0.500 Sr